# Na2AlSbAu6

Na2AlSbAu6 after structural relaxation (PBE, the Alexandria database).

a b c (Å): 7.2468 7.2468 7.2468
angles (deg): 60.00 60.00 60.00
Sites, in units of the cell vectors:
Na: 0.2500 0.2500 0.2500
Na: 0.7500 0.7500 0.7500
Al: 0.0000 0.0000 0.0000
Sb: 0.5000 0.5000 0.5000
Au: 0.2388 0.2388 0.7612
Au: 0.2388 0.7612 0.2388
Au: 0.2388 0.7612 0.7612
Au: 0.7612 0.2388 0.2388
Au: 0.7612 0.2388 0.7612
Au: 0.7612 0.7612 0.2388

## Properties
VASP energy: -3.077 eV per atom
space group: Fm-3m
N(E_F): 2.5 states/eV/f.u.
E_form (uncorrected): -5.8 kJ per mole of atoms